Here is a geometry-optimized Na3HfCr structure from Alexandria. Energies are from PBE.

POSCAR file:
```
Na3HfCr
1.0
5.394 0.000 0.000
0.000 5.394 0.000
0.000 0.000 5.394
Na Hf Cr
3 1 1
Direct
0.000 0.000 0.500
0.000 0.500 0.000
0.500 0.000 0.000
0.500 0.500 0.500
0.000 0.000 0.000
```

## Properties
- polymorph energy (0 for the lowest one) (meV/atom) = 0
- energy relative to the elements (meV per atom) = 1468
- symmetry = Pm-3m

Here is a geometry-optimized La2PrSm2Y4 structure from Alexandria. Energies are from PBE.

POSCAR file:
```
La2PrSm2Y4
1.0
9.519 -1.836 0.000
9.519 1.836 0.000
-4.233 0.000 8.767
La Pr Sm Y
2 1 2 4
Direct
0.166 0.166 0.000
0.834 0.834 0.000
0.500 0.500 0.000
0.352 0.352 0.336
0.648 0.648 0.664
0.020 0.020 0.337
0.314 0.314 0.662
0.686 0.686 0.338
0.980 0.980 0.663
```

## Properties
- energy relative to the elements (meV per atom) = -5
- symmetry = C2/m

Here is a geometry-optimized LaIrRh2Cl structure from Alexandria. Energies are from PBE.

POSCAR file:
```
LaIrRh2Cl
1.0
4.718 0.000 0.000
0.000 4.718 0.000
0.000 0.000 5.766
La Ir Rh Cl
1 1 2 1
Direct
0.000 0.000 0.000
0.000 0.000 0.500
0.000 0.500 0.500
0.500 0.000 0.500
0.500 0.500 0.000
```

## Properties
- energy relative to the elements, uncorrected (eV per atom) = 0.146
- symmetry = P4/mmm

Here is a geometry-optimized Er3Ga8Cu3 structure from Alexandria. Energies are from PBE.

POSCAR file:
```
Er3Ga8Cu3
1.0
-2.122 4.672 6.178
2.122 -4.672 6.178
2.122 4.672 -6.178
Er Ga Cu
3 8 3
Direct
0.000 0.000 0.000
0.302 0.302 0.000
0.698 0.698 0.000
0.018 0.654 0.364
0.158 0.868 0.290
0.290 0.654 0.636
0.422 0.132 0.290
0.578 0.868 0.710
0.710 0.346 0.364
0.842 0.132 0.710
0.982 0.346 0.636
0.318 0.500 0.818
0.500 0.000 0.500
0.682 0.500 0.182
```

## Properties
- energy relative to the elements (meV per atom) = -466
- symmetry = Immm

Here is a geometry-optimized Pr2Sm6Dy3Mg structure from Alexandria. Energies are from PBE.

POSCAR file:
```
Pr2Sm6Dy3Mg
1.0
3.110 -5.389 0.000
3.110 5.389 0.000
-2.086 0.000 11.705
Pr Sm Dy Mg
2 6 3 1
Direct
0.167 0.833 0.000
0.833 0.167 0.000
0.086 0.416 0.747
0.253 0.253 0.254
0.416 0.086 0.747
0.584 0.914 0.253
0.747 0.747 0.746
0.914 0.584 0.253
0.000 0.000 0.500
0.334 0.666 0.500
0.666 0.334 0.500
0.500 0.500 0.000
```

## Properties
- energy relative to the elements (meV per atom) = 13
- symmetry = C2/m

Here is a geometry-optimized LaSmPd2 structure from Alexandria. Energies are from PBE.

POSCAR file:
```
LaSmPd2
1.0
0.000 3.635 3.635
3.635 0.000 3.635
3.635 3.635 0.000
La Sm Pd
1 1 2
Direct
0.000 0.000 0.000
0.500 0.500 0.500
0.250 0.250 0.250
0.750 0.750 0.750
```

## Properties
- polymorph energy (0 for the lowest one) (meV/atom) = 80
- energy relative to the elements (meV per atom) = -757
- symmetry = Fm-3m

Here is a geometry-optimized Pt2PbBr structure from Alexandria. Energies are from PBE.

POSCAR file:
```
Pt2PbBr
1.0
3.536 -2.124 0.000
3.536 2.124 0.000
-2.185 0.000 6.433
Pt Pb Br
2 1 1
Direct
0.000 0.000 0.000
0.711 0.711 0.169
0.279 0.279 0.794
0.467 0.467 0.405
```

## Properties
- energy relative to the elements, uncorrected (eV per atom) = 0.024
- polymorph energy (0 for the lowest one) (meV/atom) = 0
- symmetry = Cm

Here is a geometry-optimized TlAgAs2Se structure from Alexandria. Energies are from PBE.

POSCAR file:
```
TlAgAs2Se
1.0
5.083 0.000 0.000
0.000 5.083 0.000
0.000 0.000 5.340
Tl Ag As Se
1 1 2 1
Direct
0.000 0.000 0.000
0.500 0.500 0.500
0.000 0.500 0.500
0.500 0.000 0.500
0.500 0.500 0.000
```

## Properties
- energy relative to the elements, uncorrected (eV per atom) = 0.580
- polymorph energy (0 for the lowest one) (meV/atom) = 0
- symmetry = P4/mmm